[1]
Compound: Pm5Cd2Si2
Source: Alexandria
Functional: PBE-GGA
Structure: optimized geometry

Cell lengths 7.7482, 7.7232, 9.1479 Å; angles 114.97, 90.00, 90.00 degrees
Element x y z (fractional)
Pm (0.1820, 0.1882, 0.7507)
Pm (0.6820, 0.3118, 0.2493)
Pm (0.3180, 0.6882, 0.7507)
Pm (0.1820, 0.4375, 0.2493)
Pm (0.5000, 0.5000, 0.0000)
Pm (0.0000, 0.0000, 0.0000)
Pm (0.8180, 0.8118, 0.2493)
Pm (0.8180, 0.5625, 0.7507)
Pm (0.6820, 0.0625, 0.7507)
Pm (0.3180, 0.9375, 0.2493)
Cd (0.5000, 0.2774, 0.5547)
Cd (0.0000, 0.7774, 0.5547)
Cd (0.0000, 0.2226, 0.4453)
Cd (0.5000, 0.7226, 0.4453)
Si (0.6144, 0.8874, 0.0000)
Si (0.8856, 0.3874, 0.0000)
Si (0.1144, 0.6126, 0.0000)
Si (0.3856, 0.1126, 0.0000)

Summary:
* E_form (uncorrected): -4.26 eV per formula unit
* E: -4.52 eV/atom
* SG: Cmce (64)
* M_tot: 0.0 μB/f.u.
* V: 27.57 Å³/atom

---

[2]
Compound: PmCdSi
Source: Alexandria
Functional: PBE-GGA
Structure: optimized geometry

Cell lengths 3.8816, 4.2966, 8.7189 Å; angles 104.26, 90.00, 90.00 degrees
Element x y z (fractional)
Si (0.7500, 0.4570, 0.9141)
Si (0.2500, 0.5430, 0.0859)
Cd (0.2500, 0.7124, 0.4248)
Cd (0.7500, 0.2876, 0.5752)
Pm (0.2500, 0.9073, 0.8145)
Pm (0.7500, 0.0927, 0.1855)

Summary:
* E_form (uncorrected): -1.50 eV per formula unit
* E: -4.20 eV/atom
* SG: Cmcm (63)
* M_tot: 0.0 μB/f.u.
* V: 23.49 Å³/atom

---

[3]
Compound: PmSmCdSi
Source: Alexandria
Functional: PBE-GGA
Structure: optimized geometry

Cell lengths 5.2185, 5.2185, 5.2185 Å; angles 60.00, 60.00, 60.00 degrees
Element x y z (fractional)
Pm (0.0000, 0.0000, 0.0000)
Si (0.7500, 0.7500, 0.7500)
Sm (0.5000, 0.5000, 0.5000)
Cd (0.2500, 0.2500, 0.2500)

Summary:
* E_form (uncorrected): -1.57 eV per formula unit
* E: -4.34 eV/atom
* SG: F-43m (216)
* M_tot: 0.0 μB/f.u.
* V: 25.12 Å³/atom

---

[4]
Compound: SrPmCdSi
Source: Alexandria
Functional: PBE-GGA
Structure: optimized geometry

Cell lengths 5.3673, 5.3673, 5.3673 Å; angles 60.00, 60.00, 60.00 degrees
Element x y z (fractional)
Pm (0.0000, 0.0000, 0.0000)
Sr (0.5000, 0.5000, 0.5000)
Si (0.7500, 0.7500, 0.7500)
Cd (0.2500, 0.2500, 0.2500)

Summary:
* E_form (uncorrected): -1.11 eV per formula unit
* E: -3.47 eV/atom
* SG: F-43m (216)
* M_tot: 0.0 μB/f.u.
* V: 27.33 Å³/atom

---

[5]
Compound: PmTmCdSi
Source: Alexandria
Functional: PBE-GGA
Structure: optimized geometry

Cell lengths 5.1354, 5.1354, 5.1354 Å; angles 60.00, 60.00, 60.00 degrees
Element x y z (fractional)
Pm (0.0000, 0.0000, 0.0000)
Cd (0.2500, 0.2500, 0.2500)
Si (0.7500, 0.7500, 0.7500)
Tm (0.5000, 0.5000, 0.5000)

Summary:
* E_form (uncorrected): -1.48 eV per formula unit
* E: -4.26 eV/atom
* SG: F-43m (216)
* M_tot: 0.0 μB/f.u.
* V: 23.94 Å³/atom

---

[6]
Compound: Pm2SmCd4
Source: Alexandria
Functional: PBE-GGA
Structure: optimized geometry

Cell lengths 5.9321, 5.9321, 7.2335 Å; angles 114.21, 114.21, 90.00 degrees
Element x y z (fractional)
Cd (0.7500, 0.2500, 0.5000)
Cd (0.2500, 0.7500, 0.5000)
Cd (0.5000, 0.0000, 0.0000)
Cd (0.0000, 0.5000, 0.0000)
Pm (0.3570, 0.3570, 0.7139)
Pm (0.6430, 0.6430, 0.2861)
Sm (0.0000, 0.0000, 0.0000)

Summary:
* energy relative to the elements: -0.045 eV per atom
* E: -2.60 eV/atom
* SG: I4/mmm (139)
* M_tot: 0.0 μB/f.u.
* V: 29.63 Å³/atom

---

[7]
Compound: Pm2Sm2Cd15
Source: Alexandria
Functional: PBE-GGA
Structure: optimized geometry

Cell lengths 8.0830, 8.0830, 8.0830 Å; angles 74.67, 74.67, 74.67 degrees
Element x y z (fractional)
Cd (0.6230, 0.6230, 0.1522)
Cd (0.6944, 0.3056, 0.0000)
Cd (0.3770, 0.8478, 0.3770)
Cd (0.6944, 0.0000, 0.3056)
Cd (0.3770, 0.3770, 0.8478)
Cd (0.5000, 0.0000, 0.0000)
Cd (0.0000, 0.3056, 0.6944)
Cd (0.1522, 0.6230, 0.6230)
Cd (0.0000, 0.0000, 0.5000)
Cd (0.0000, 0.6944, 0.3056)
Cd (0.6230, 0.1522, 0.6230)
Cd (0.3056, 0.0000, 0.6944)
Cd (0.0000, 0.5000, 0.0000)
Cd (0.8478, 0.3770, 0.3770)
Cd (0.3056, 0.6944, 0.0000)
Sm (0.3060, 0.3060, 0.3060)
Sm (0.6940, 0.6940, 0.6940)
Pm (0.9114, 0.9114, 0.9114)
Pm (0.0886, 0.0886, 0.0886)

Summary:
* energy relative to the elements: -0.118 eV per atom
* E: -1.84 eV/atom
* SG: R-3m (166)
* M_tot: 0.0 μB/f.u.
* V: 25.28 Å³/atom

---

[8]
Compound: PmSmCd2
Source: Alexandria
Functional: PBE-GGA
Structure: optimized geometry

Cell lengths 3.6633, 3.6633, 10.4206 Å; angles 79.88, 79.88, 60.00 degrees
Element x y z (fractional)
Pm (0.0000, 0.0000, 0.0000)
Sm (0.5000, 0.5000, 0.5000)
Cd (0.2496, 0.2496, 0.2513)
Cd (0.7504, 0.7504, 0.7487)

Summary:
* energy relative to the elements: -0.136 eV per atom
* E: -2.96 eV/atom
* SG: R-3m (166)
* M_tot: 0.0 μB/f.u.
* V: 29.65 Å³/atom

---

[9]
Compound: Pm2Sm2Cd3
Source: Alexandria
Functional: PBE-GGA
Structure: optimized geometry

Cell lengths 8.2008, 8.2008, 8.2008 Å; angles 109.47, 109.47, 109.47 degrees
Element x y z (fractional)
Cd (0.1279, 0.3779, 0.2500)
Cd (0.6221, 0.7500, 0.8721)
Cd (0.8779, 0.2500, 0.6279)
Cd (0.7500, 0.6279, 0.3779)
Cd (0.3721, 0.1221, 0.7500)
Cd (0.2500, 0.8721, 0.1221)
Sm (0.3510, 0.5000, 0.0000)
Sm (0.5000, 0.8510, 0.5000)
Sm (0.1490, 0.6490, 0.6490)
Sm (0.0000, 0.0000, 0.8510)
Pm (0.8469, 0.5000, 0.0000)
Pm (0.0000, 0.0000, 0.3469)
Pm (0.5000, 0.3469, 0.5000)
Pm (0.6531, 0.1531, 0.1531)

Summary:
* energy relative to the elements: -0.109 eV per atom
* E: -3.21 eV/atom
* SG: I2_13 (199)
* M_tot: 0.0 μB/f.u.
* V: 30.33 Å³/atom

---

[10]
Compound: Pm6SmCd2
Source: Alexandria
Functional: PBE-GGA
Structure: optimized geometry

Cell lengths 3.8281, 6.7252, 11.9978 Å; angles 75.58, 80.82, 73.46 degrees
Element x y z (fractional)
Cd (0.3545, 0.0858, 0.2052)
Cd (0.6455, 0.9142, 0.7948)
Pm (0.9812, 0.6988, 0.3387)
Pm (0.6887, 0.2095, 0.4131)
Pm (0.6845, 0.5074, 0.1235)
Pm (0.3155, 0.4926, 0.8765)
Pm (0.3113, 0.7905, 0.5869)
Pm (0.0188, 0.3012, 0.6613)
Sm (0.0000, 0.0000, 0.0000)

Summary:
* energy relative to the elements: -0.133 eV per atom
* E: -4.03 eV/atom
* SG: C2/m (12)
* M_tot: 0.0 μB/f.u.
* V: 31.72 Å³/atom

---

[11]
Compound: Pm8Sm6Cd
Source: Alexandria
Functional: PBE-GGA
Structure: optimized geometry

Cell lengths 6.4829, 9.5122, 9.5122 Å; angles 120.00, 90.00, 90.00 degrees
Element x y z (fractional)
Pm (0.1859, 0.9593, 0.7331)
Pm (0.1566, 0.6667, 0.3333)
Pm (0.8141, 0.7331, 0.7739)
Pm (0.1859, 0.2669, 0.2261)
Pm (0.8141, 0.0407, 0.2669)
Pm (0.1859, 0.7739, 0.0407)
Pm (0.8434, 0.3333, 0.6667)
Pm (0.8141, 0.2261, 0.9593)
Sm (0.3233, 0.0937, 0.4511)
Sm (0.6767, 0.6425, 0.0937)
Sm (0.3233, 0.5489, 0.6425)
Sm (0.6767, 0.4511, 0.3575)
Sm (0.6767, 0.9063, 0.5489)
Sm (0.3233, 0.3575, 0.9063)
Cd (0.5000, 0.0000, 0.0000)

Summary:
* energy relative to the elements: 0.083 eV per atom
* E: -4.40 eV/atom
* SG: P-3 (147)
* M_tot: 0.0 μB/f.u.
* V: 33.87 Å³/atom

---

[12]
Compound: Pm2Sm3Cd6
Source: Alexandria
Functional: PBE-GGA
Structure: optimized geometry

Cell lengths 4.1133, 4.1133, 19.7718 Å; angles 95.97, 95.97, 90.00 degrees
Element x y z (fractional)
Cd (0.4347, 0.9347, 0.8694)
Cd (0.9347, 0.4347, 0.8694)
Cd (0.7273, 0.7273, 0.4546)
Cd (0.5653, 0.0653, 0.1306)
Cd (0.2727, 0.2727, 0.5454)
Cd (0.0653, 0.5653, 0.1306)
Pm (0.3668, 0.3668, 0.7335)
Pm (0.6332, 0.6332, 0.2665)
Sm (0.1891, 0.1891, 0.3782)
Sm (0.0000, 0.0000, 0.0000)
Sm (0.8109, 0.8109, 0.6218)

Summary:
* energy relative to the elements: -0.014 eV per atom
* E: -2.66 eV/atom
* SG: I4/mmm (139)
* M_tot: 0.0 μB/f.u.
* V: 30.08 Å³/atom